## ErPaAsO (GGA-PBE)

Data for crystalline ErPaAsO at its relaxed geometry.

Unit cell a=4.2010 b=4.2010 c=9.2403 alpha=90.00 beta=90.00 gamma=90.00
Space group P4/nmm (No. 129, origin choice 2)
Symmetry-distinct sites (fractional):
Er1 0.2500 0.2500 0.0987 (multiplicity 2)
Pa1 0.2500 0.7500 0.5000 (multiplicity 2)
As1 0.2500 0.2500 0.7269 (multiplicity 2)
O1 0.2500 0.7500 0.0000 (multiplicity 2)

VASP energy = -7.1897 eV/atom